Arrangement P

# PBE Rb2PSe2, optimized geometry
data_Rb2PSe2
_chemical_formula_sum 'Rb4 P2 Se4'
_cell_length_a 3.877
_cell_length_b 3.877
_cell_length_c 21.295
_cell_angle_alpha 90.00
_cell_angle_beta 90.00
_cell_angle_gamma 90.00
_space_group_name_H-M_alt 'I 4/m m m'
_space_group_IT_number 139
_space_group_name_Hall '-I 4 2'
loop_
_atom_site_label
_atom_site_type_symbol
_atom_site_fract_x
_atom_site_fract_y
_atom_site_fract_z
Rb1 Rb 0.000 0.000 0.104
P1 P 0.000 0.000 0.500
Se1 Se 0.000 0.500 0.250
# - Size of the total moment: 0.0 μB/f.u.

***

Arrangement Q

# PBE Rb2PSe2, optimized geometry
data_Rb2PSe2
_chemical_formula_sum 'Rb4 P2 Se4'
_cell_length_a 10.640
_cell_length_b 10.640
_cell_length_c 2.839
_cell_angle_alpha 90.00
_cell_angle_beta 90.00
_cell_angle_gamma 90.00
_space_group_name_H-M_alt 'P 4/m b m'
_space_group_IT_number 127
_space_group_name_Hall '-P 4 2ab'
loop_
_atom_site_label
_atom_site_type_symbol
_atom_site_fract_x
_atom_site_fract_y
_atom_site_fract_z
Rb1 Rb 0.178 0.322 0.000
P1 P 0.000 0.000 0.000
Se1 Se 0.111 0.611 0.500
# - Size of the total moment: 0.0 μB/f.u.

***

Which one sits at the bottom of the stability order? arrangement Q does.

***

Arrangement P

# PBE Rb2PSe4, optimized geometry
data_Rb2PSe4
_chemical_formula_sum 'Rb4 P2 Se8'
_cell_length_a 7.378
_cell_length_b 6.052
_cell_length_c 12.357
_cell_angle_alpha 90.00
_cell_angle_beta 98.68
_cell_angle_gamma 90.00
_space_group_name_H-M_alt 'P 1 21/m 1'
_space_group_IT_number 11
loop_
_space_group_symop_operation_xyz
'x,y,z'
'-x,-y,-z'
'-x,y+1/2,-z'
'x,-y+1/2,z'
loop_
_atom_site_label
_atom_site_type_symbol
_atom_site_fract_x
_atom_site_fract_y
_atom_site_fract_z
Rb1 Rb 0.237 0.250 0.457
Rb2 Rb 0.244 0.250 0.920
P1 P 0.321 0.750 0.238
Se1 Se 0.084 0.750 0.327
Se2 Se 0.239 0.750 0.061
Se3 Se 0.464 0.509 0.706
# - Size of the total moment: 0.0 μB/f.u.

***

Arrangement Q

# PBE Rb2PSe4, optimized geometry
data_Rb2PSe4
_chemical_formula_sum 'Rb4 P2 Se8'
_cell_length_a 5.071
_cell_length_b 5.071
_cell_length_c 17.177
_cell_angle_alpha 90.00
_cell_angle_beta 90.00
_cell_angle_gamma 90.00
_space_group_name_H-M_alt 'I 4/m m m'
_space_group_IT_number 139
_space_group_name_Hall '-I 4 2'
loop_
_atom_site_label
_atom_site_type_symbol
_atom_site_fract_x
_atom_site_fract_y
_atom_site_fract_z
Rb1 Rb 0.000 0.000 0.149
P1 P 0.000 0.000 0.500
Se1 Se 0.000 0.000 0.360
Se2 Se 0.000 0.500 0.000
# - Size of the total moment: 0.0 μB/f.u.

***

Arrangement R

# PBE Rb2PSe4, optimized geometry
data_Rb2PSe4
_chemical_formula_sum 'Rb16 P8 Se32'
_cell_length_a 15.372
_cell_length_b 15.440
_cell_length_c 12.058
_cell_angle_alpha 90.00
_cell_angle_beta 90.00
_cell_angle_gamma 90.00
_space_group_name_H-M_alt 'C c c e'
_space_group_IT_number 68
loop_
_space_group_symop_operation_xyz
'x,y,z'
'-x,-y,-z'
'-x+1/2,-y,z'
'x+1/2,y,-z'
'x+1/2,-y,-z+1/2'
'-x+1/2,y,z+1/2'
'-x,y,-z+1/2'
'x,-y,z+1/2'
'x+1/2,y+1/2,z'
'-x+1/2,-y+1/2,-z'
'-x,-y+1/2,z'
'x,y+1/2,-z'
'x,-y+1/2,-z+1/2'
'-x,y+1/2,z+1/2'
'-x+1/2,y+1/2,-z+1/2'
'x+1/2,-y+1/2,z+1/2'
loop_
_atom_site_label
_atom_site_type_symbol
_atom_site_fract_x
_atom_site_fract_y
_atom_site_fract_z
Rb1 Rb 0.000 0.015 0.250
Rb2 Rb 0.237 0.250 0.250
P1 P 0.250 0.000 0.000
Se1 Se 0.165 0.084 0.601
Se2 Se 0.165 0.084 0.898
# - Size of the total moment: 0.6 μB/f.u.

***

Which one sits at the bottom of the stability order? arrangement Q does.

***

Arrangement P

# PBE Rb2SnP, optimized geometry
data_Rb2SnP
_chemical_formula_sum 'Rb8 Sn4 P4'
_cell_length_a 8.319
_cell_length_b 8.319
_cell_length_c 8.319
_cell_angle_alpha 90.00
_cell_angle_beta 90.00
_cell_angle_gamma 90.00
_space_group_name_H-M_alt 'F m -3 m'
_space_group_IT_number 225
_space_group_name_Hall '-F 4 2 3'
loop_
_atom_site_label
_atom_site_type_symbol
_atom_site_fract_x
_atom_site_fract_y
_atom_site_fract_z
Rb1 Rb 0.250 0.250 0.250
Sn1 Sn 0.000 0.000 0.000
P1 P 0.000 0.000 0.500
# - Size of the total moment: 0.9 μB/f.u.

***

Arrangement Q

# PBE Rb2SnP, optimized geometry
data_Rb2SnP
_chemical_formula_sum 'Rb4 Sn2 P2'
_cell_length_a 4.119
_cell_length_b 10.521
_cell_length_c 7.089
_cell_angle_alpha 90.00
_cell_angle_beta 90.00
_cell_angle_gamma 90.00
_space_group_name_H-M_alt 'I m m 2'
_space_group_IT_number 44
loop_
_space_group_symop_operation_xyz
'x,y,z'
'-x,-y,z'
'-x,y,z'
'x,-y,z'
'x+1/2,y+1/2,z+1/2'
'-x+1/2,-y+1/2,z+1/2'
'-x+1/2,y+1/2,z+1/2'
'x+1/2,-y+1/2,z+1/2'
loop_
_atom_site_label
_atom_site_type_symbol
_atom_site_fract_x
_atom_site_fract_y
_atom_site_fract_z
Rb1 Rb 0.000 0.187 0.000
Sn1 Sn 0.000 0.000 0.492
P1 P 0.000 0.500 0.218
# - Size of the total moment: 0.0 μB/f.u.

***

Which one sits at the bottom of the stability order? arrangement P does.

***

Arrangement P

# PBE Rb3SnP, optimized geometry
data_Rb3SnP
_chemical_formula_sum 'Rb12 Sn4 P4'
_cell_length_a 12.651
_cell_length_b 11.236
_cell_length_c 8.983
_cell_angle_alpha 90.00
_cell_angle_beta 130.81
_cell_angle_gamma 90.00
_space_group_name_H-M_alt 'C 1 2/m 1'
_space_group_IT_number 12
loop_
_space_group_symop_operation_xyz
'x,y,z'
'-x,-y,-z'
'-x,y,-z'
'x,-y,z'
'x+1/2,y+1/2,z'
'-x+1/2,-y+1/2,-z'
'-x+1/2,y+1/2,-z'
'x+1/2,-y+1/2,z'
loop_
_atom_site_label
_atom_site_type_symbol
_atom_site_fract_x
_atom_site_fract_y
_atom_site_fract_z
Rb1 Rb 0.037 0.200 0.274
Rb2 Rb 0.206 0.500 0.149
Sn1 Sn 0.186 0.500 0.716
P1 P 0.044 0.500 0.341
# - Size of the total moment: 0.0 μB/f.u.

***

Arrangement Q

# PBE Rb3SnP, optimized geometry
data_Rb3SnP
_chemical_formula_sum 'Rb3 Sn1 P1'
_cell_length_a 6.527
_cell_length_b 6.527
_cell_length_c 6.527
_cell_angle_alpha 90.00
_cell_angle_beta 90.00
_cell_angle_gamma 90.00
_space_group_name_H-M_alt 'P m -3 m'
_space_group_IT_number 221
_space_group_name_Hall '-P 4 2 3'
loop_
_atom_site_label
_atom_site_type_symbol
_atom_site_fract_x
_atom_site_fract_y
_atom_site_fract_z
Rb1 Rb 0.000 0.000 0.500
Sn1 Sn 0.500 0.500 0.500
P1 P 0.000 0.000 0.000
# - Size of the total moment: 4.0 μB/f.u.

***

Which one sits at the bottom of the stability order? arrangement Q does.

***

Arrangement P

# PBE RbSrP3, optimized geometry
data_RbSrP3
_chemical_formula_sum 'Rb1 Sr1 P3'
_cell_length_a 5.643
_cell_length_b 5.643
_cell_length_c 5.643
_cell_angle_alpha 90.00
_cell_angle_beta 90.00
_cell_angle_gamma 90.00
_space_group_name_H-M_alt 'P m -3 m'
_space_group_IT_number 221
_space_group_name_Hall '-P 4 2 3'
loop_
_atom_site_label
_atom_site_type_symbol
_atom_site_fract_x
_atom_site_fract_y
_atom_site_fract_z
Rb1 Rb 0.000 0.000 0.000
Sr1 Sr 0.500 0.500 0.500
P1 P 0.000 0.500 0.500
# - Size of the total moment: 0.0 μB/f.u.

***

Arrangement Q

# PBE RbSrP3, optimized geometry
data_RbSrP3
_chemical_formula_sum 'Rb1 Sr1 P3'
_cell_length_a 5.377
_cell_length_b 5.377
_cell_length_c 5.377
_cell_angle_alpha 90.00
_cell_angle_beta 90.00
_cell_angle_gamma 90.00
_space_group_name_H-M_alt 'P m -3 m'
_space_group_IT_number 221
_space_group_name_Hall '-P 4 2 3'
loop_
_atom_site_label
_atom_site_type_symbol
_atom_site_fract_x
_atom_site_fract_y
_atom_site_fract_z
Rb1 Rb 0.000 0.000 0.000
Sr1 Sr 0.500 0.500 0.500
P1 P 0.000 0.000 0.500
# - Size of the total moment: 0.0 μB/f.u.

***

Which one sits at the bottom of the stability order? arrangement Q does.

***

Arrangement P

# PBE RbTa3P, optimized geometry
data_RbTa3P
_chemical_formula_sum 'Rb1 Ta3 P1'
_cell_length_a 4.802
_cell_length_b 4.802
_cell_length_c 4.802
_cell_angle_alpha 90.00
_cell_angle_beta 90.00
_cell_angle_gamma 90.00
_space_group_name_H-M_alt 'P m -3 m'
_space_group_IT_number 221
_space_group_name_Hall '-P 4 2 3'
loop_
_atom_site_label
_atom_site_type_symbol
_atom_site_fract_x
_atom_site_fract_y
_atom_site_fract_z
Rb1 Rb 0.000 0.000 0.000
Ta1 Ta 0.000 0.000 0.500
P1 P 0.500 0.500 0.500
# - Size of the total moment: 0.0 μB/f.u.

***

Arrangement Q

# PBE RbTa3P, optimized geometry
data_RbTa3P
_chemical_formula_sum 'Rb1 Ta3 P1'
_cell_length_a 4.821
_cell_length_b 4.821
_cell_length_c 4.821
_cell_angle_alpha 90.00
_cell_angle_beta 90.00
_cell_angle_gamma 90.00
_space_group_name_H-M_alt 'P m -3 m'
_space_group_IT_number 221
_space_group_name_Hall '-P 4 2 3'
loop_
_atom_site_label
_atom_site_type_symbol
_atom_site_fract_x
_atom_site_fract_y
_atom_site_fract_z
Rb1 Rb 0.000 0.000 0.000
Ta1 Ta 0.000 0.500 0.500
P1 P 0.500 0.500 0.500
# - Size of the total moment: 0.0 μB/f.u.

***

Which one sits at the bottom of the stability order? arrangement P does.